[1]
Compound: Ac2Mn2Zn15
Source: Alexandria via LeMat-Bulk
Functional: PBE-GGA
Structure: optimized geometry

Structure (extended XYZ):
```
19
Lattice="-4.873 1.340 4.828 -4.502 -5.030 -1.812 2.012 -4.774 4.692" Properties=species:S:1:pos:R:3 pbc="T T T"
Zn -2.699 -4.959 -0.011
Zn 0.208 -4.845 2.891
Zn -4.807 -5.453 1.749
Zn -2.251 -2.515 -0.906
Zn -2.436 0.670 2.414
Zn -4.994 -2.248 5.091
Zn -2.967 -0.353 4.790
Zn -4.605 -3.266 0.027
Zn 0.106 -3.081 4.729
Zn -1.530 -5.324 5.022
Zn 1.006 -2.387 2.346
Zn -2.555 -3.011 5.958
Zn -5.833 -3.140 2.686
Zn -2.369 -6.216 2.617
Zn -4.770 -0.424 2.990
Ac -4.862 -5.589 5.089
Ac -2.501 -2.875 2.618
Mn -6.639 -7.632 6.950
Mn -0.723 -0.832 0.757
```

Results
The value obtained for the density of states at the Fermi level is 9.4 states/eV/cell. The formation energy from the elements comes out at -160 meV/atom. The raw total energy is -2.563 eV per atom.

[2]
Compound: Pm6HgSe3S2
Source: Alexandria via LeMat-Bulk
Functional: PBE-GGA
Structure: optimized geometry

Structure (extended XYZ):
```
12
Lattice="-2.434 2.572 -2.090 -6.166 -5.891 -0.068 -0.347 3.453 8.696" Properties=species:S:1:pos:R:3 pbc="T T T"
Hg -1.217 1.286 -1.045
Pm -3.670 0.610 5.024
Pm -7.315 1.627 6.475
Pm -6.596 -2.191 4.986
Pm -2.350 2.324 1.552
Pm -1.632 -1.494 0.062
Pm -5.277 -0.477 1.514
Se -5.640 -3.333 2.468
Se -3.306 3.466 4.070
Se -4.300 -1.660 -1.079
S -6.348 0.509 3.974
S -2.598 -0.376 2.563
```

Results
The value obtained for the density of states at the Fermi level is 6.7 states/eV/cell. The value obtained for the raw formation energy is -1.647 eV/atom. The raw total energy is -5.607 eV per atom.